Material: Tb4NdSm2Er
Method: DFT, PBE
State: optimized geometry

```
Tb4NdSm2Er
1.0
-3.4193 5.9180 6.6486
3.4193 -5.9180 6.6486
3.4193 5.9180 -6.6486
Tb Nd Sm Er
8 2 4 2
Direct
0.2530 0.2497 0.0033 Tb
0.2539 0.2533 0.4994 Tb
0.2537 0.7503 0.5033 Tb
0.2539 0.7545 0.0006 Tb
0.7461 0.2455 0.9994 Tb
0.7463 0.2497 0.4967 Tb
0.7461 0.7467 0.5006 Tb
0.7470 0.7503 0.9967 Tb
0.0000 0.5000 0.5000 Nd
0.5000 0.5000 0.0000 Nd
0.0000 0.0000 0.0000 Sm
0.0000 0.0000 0.5000 Sm
0.0000 0.5000 0.0000 Sm
0.5000 0.0000 0.5000 Sm
0.5000 0.0000 0.0000 Er
0.5000 0.5000 0.5000 Er
```

Results
For the total magnetic moment, the calculation gives 0.344 μB per atom. The formation energy comes out at 40 kJ per mole of atoms. As for the crystal system: orthorhombic.


Material: Tb4Nd2Sm2Er
Method: DFT, PBE
State: optimized geometry

```
Tb4Nd2Sm2Er
1.0
9.4135 -1.8139 0.0000
9.4135 1.8139 0.0000
-4.1832 0.0000 8.6951
Tb Nd Sm Er
4 2 2 1
Direct
0.0190 0.0190 0.3318 Tb
0.3150 0.3150 0.6654 Tb
0.6850 0.6850 0.3346 Tb
0.9810 0.9810 0.6682 Tb
0.1651 0.1651 0.0000 Nd
0.8349 0.8349 0.0000 Nd
0.3528 0.3528 0.3363 Sm
0.6472 0.6472 0.6637 Sm
0.5000 0.5000 0.0000 Er
```

Results
For the total magnetic moment, the calculation gives 0.000 μB per atom. The formation energy comes out at 0 kJ per mole of atoms. As for the crystal system: monoclinic.


Material: Tb5Nd2SmEr
Method: DFT, PBE
State: optimized geometry

```
Tb5Nd2SmEr
1.0
-4.3468 4.3468 7.8665
4.3468 -4.3468 7.8665
4.3468 4.3468 -7.8665
Tb Nd Sm Er
10 4 2 2
Direct
0.0000 0.0000 0.0000 Tb
0.0721 0.5721 0.9232 Tb
0.1490 0.0721 0.5000 Tb
0.3510 0.8510 0.9232 Tb
0.4279 0.3510 0.5000 Tb
0.5000 0.5000 0.0000 Tb
0.5721 0.6490 0.5000 Tb
0.6490 0.1490 0.0768 Tb
0.8510 0.9279 0.5000 Tb
0.9279 0.4279 0.0768 Tb
0.1178 0.3822 0.5000 Nd
0.3822 0.8822 0.2643 Nd
0.6178 0.1178 0.7357 Nd
0.8822 0.6178 0.5000 Nd
0.2500 0.2500 0.0000 Sm
0.7500 0.7500 0.0000 Sm
0.2500 0.7500 0.5000 Er
0.7500 0.2500 0.5000 Er
```

Results
For the total magnetic moment, the calculation gives 0.000 μB per atom. The formation energy comes out at 26 kJ per mole of atoms. As for the crystal system: tetragonal.


Q: What is the formula in the first record?
A: Tb4NdSm2Er


Q: What is the formula in the first record?
A: Tb4NdSm2Er


Q: Look up the total magnetic moment of the second one.
A: 0.000 μB per atom